Sr3Cd4Hg2 | PBE | relaxed

As for the spin magnetization: 0.00 μB per formula unit. The energy above the lowest structure with this stoichiometry comes out at 0 meV per atom.

The structure belongs to space group C2/m (No. 12); the cell edges are 11.9752, 5.0251 and 9.7558 Å and the angles 90.00°, 112.99° and 90.00°. The asymmetric unit holds Sr at (0.0000, 0.0000, 0.0000), Sr at (0.1723, 0.5000, 0.6602), Cd at (0.0449, 0.0000, 0.3817), Cd at (0.2248, 0.5000, 0.0568) and Hg at (0.1047, 0.5000, 0.2705).

DySc2Ga2Cu2 | PBE | relaxed

As for the total energy: -4.92 eV per atom. As for the spin magnetization: 0.00 μB per formula unit.

The structure belongs to space group R-3m (No. 166, hexagonal axes); the cell edges are 4.3107, 4.3107 and 25.3953 Å and the angles 90.00°, 90.00° and 120.00°. The asymmetric unit holds Dy at (0.0000, 0.0000, 0.0000), Sc at (0.0000, 0.0000, 0.1284), Ga at (0.0000, 0.0000, 0.2547) and Cu at (0.0000, 0.0000, 0.4096).

Number 1: DOS(E_F) 11.80 states/eV per cell. Number 2: DOS(E_F) 9.91 states/eV per cell.